1.
Computed, not measured: a relaxed BaAuO crystal at the PBE-GGA level of DFT.

Unit cell a=4.3849 b=4.3847 c=5.8504 alpha=68.00 beta=68.01 gamma=60.00
Sites, in units of the cell vectors:
Ba  0.8730  0.6185  0.6514
Au  0.3641  0.1098  0.1776
O  0.4973  0.2427  0.7787

Computed properties:
Crystal system: trigonal
Electronic total energy, eV per atom: -4.506

2.
Computed, not measured: a relaxed Ba8AuO2 crystal at the PBE-GGA level of DFT.

Unit cell a=7.6022 b=9.1599 c=9.1599 alpha=64.03 beta=86.89 gamma=86.89
Sites, in units of the cell vectors:
Ba  0.7610  0.6801  0.1083
Ba  0.7610  0.1083  0.6801
Ba  0.2390  0.3199  0.8917
Ba  0.7421  0.6620  0.6620
Ba  0.2390  0.8917  0.3199
Ba  0.6912  0.1622  0.1622
Ba  0.3088  0.8378  0.8378
Ba  0.2579  0.3380  0.3380
Au  0.0000  0.0000  0.0000
O  0.3513  0.1814  0.1814
O  0.6487  0.8186  0.8186

Computed properties:
Crystal system: monoclinic
Electronic total energy, eV per atom: -3.622

3.
Computed, not measured: a relaxed Ba2AuO crystal at the PBE-GGA level of DFT.

Unit cell a=4.1480 b=4.1480 c=8.1372 alpha=75.23 beta=75.23 gamma=60.00
Sites, in units of the cell vectors:
Ba  0.0704  0.0704  0.7888
Ba  0.2695  0.2695  0.1915
Au  0.4992  0.4992  0.5023
O  0.6609  0.6609  0.0174

Computed properties:
Crystal system: trigonal
Electronic total energy, eV per atom: -4.423

4.
Computed, not measured: a relaxed Ba7Au4O crystal at the PBE-GGA level of DFT.

Unit cell a=5.5641 b=9.8122 c=9.2320 alpha=79.95 beta=72.46 gamma=73.53
Sites, in units of the cell vectors:
Ba  0.7865  0.8519  0.5751
Ba  0.2135  0.1481  0.4249
Ba  0.0648  0.7499  0.1205
Ba  0.9352  0.2501  0.8795
Ba  0.3638  0.5497  0.7226
Ba  0.5000  0.0000  0.0000
Ba  0.6362  0.4503  0.2774
Au  0.5828  0.2112  0.6232
Au  0.4172  0.7888  0.3768
Au  0.7232  0.6415  0.9121
Au  0.2768  0.3585  0.0879
O  0.0000  0.0000  0.0000

Computed properties:
Crystal system: monoclinic
Electronic total energy, eV per atom: -3.448

5.
Computed, not measured: a relaxed Ba5AuO crystal at the PBE-GGA level of DFT.

Unit cell a=8.3641 b=8.3684 c=12.3655 alpha=112.12 beta=112.14 gamma=85.18
Sites, in units of the cell vectors:
Ba  0.7636  0.6913  0.0661
Ba  0.2360  0.6467  0.3393
Ba  0.4181  0.0811  0.2498
Ba  0.8092  0.7371  0.4342
Ba  0.1908  0.2629  0.5658
Ba  0.8528  0.2646  0.1610
Ba  0.1472  0.7354  0.8390
Ba  0.5819  0.9189  0.7502
Ba  0.7640  0.3533  0.6607
Ba  0.2364  0.3087  0.9339
Au  0.5000  0.0000  0.0000
Au  0.5000  0.0000  0.5000
O  0.9068  0.5935  0.2501
O  0.0932  0.4065  0.7499

Computed properties:
Crystal system: monoclinic
Electronic total energy, eV per atom: -3.449

6.
Computed, not measured: a relaxed Ba5Au4O crystal at the PBE-GGA level of DFT.

Unit cell a=6.6860 b=7.9629 c=7.9629 alpha=79.85 beta=65.18 gamma=65.18
Sites, in units of the cell vectors:
Ba  0.9090  0.3537  0.8284
Ba  0.2628  0.8284  0.6463
Ba  0.7374  0.1716  0.3537
Ba  0.0911  0.6463  0.1716
Ba  0.4438  0.0000  0.0000
Au  0.4151  0.3929  0.7800
Au  0.8080  0.7800  0.6071
Au  0.1952  0.2200  0.3929
Au  0.5881  0.6071  0.2200
O  0.0598  0.0000  0.0000

Computed properties:
Crystal system: tetragonal
Electronic total energy, eV per atom: -3.735

7.
Computed, not measured: a relaxed BaAuO2 crystal at the PBE-GGA level of DFT.

Unit cell a=4.5551 b=4.5551 c=4.5551 alpha=60.00 beta=60.00 gamma=60.00
Sites, in units of the cell vectors:
Au  0.5000  0.5000  0.5000
Ba  0.0000  0.0000  0.0000
O  0.2500  0.2500  0.2500
O  0.7500  0.7500  0.7500

Computed properties:
Crystal system: cubic
Electronic total energy, eV per atom: -4.491

8.
Computed, not measured: a relaxed BaAuO crystal at the PBE-GGA level of DFT.

Unit cell a=10.7244 b=4.9181 c=5.6333 alpha=90.00 beta=90.00 gamma=90.00
Sites, in units of the cell vectors:
Ba  0.7109  0.0000  0.3396
Ba  0.2891  0.0000  0.3396
Ba  0.2109  0.5000  0.8396
Ba  0.7891  0.5000  0.8396
Au  0.0000  0.0000  0.0213
Au  0.5000  0.5000  0.5213
Au  0.0000  0.5000  0.3449
Au  0.5000  0.0000  0.8449
O  0.6927  0.0000  0.8550
O  0.3073  0.0000  0.8550
O  0.1927  0.5000  0.3550
O  0.8073  0.5000  0.3550

Computed properties:
Crystal system: orthorhombic
Electronic total energy, eV per atom: -4.867

9.
Computed, not measured: a relaxed Ba4AuO crystal at the PBE-GGA level of DFT.

Unit cell a=7.6241 b=7.6217 c=10.1450 alpha=112.05 beta=112.05 gamma=90.05
Sites, in units of the cell vectors:
Ba  0.9556  0.3070  0.1063
Ba  0.6506  0.7993  0.1063
Ba  0.3070  0.6505  0.6062
Ba  0.6930  0.3495  0.3938
Ba  0.2007  0.0442  0.3938
Ba  0.3494  0.2007  0.8937
Ba  0.7993  0.9558  0.6062
Ba  0.0444  0.6930  0.8937
Au  0.3751  0.6251  0.2501
Au  0.6249  0.3749  0.7499
O  0.1249  0.8749  0.7498
O  0.8751  0.1251  0.2502

Computed properties:
Crystal system: monoclinic
Electronic total energy, eV per atom: -3.665

10.
Computed, not measured: a relaxed BaAuO2 crystal at the PBE-GGA level of DFT.

Unit cell a=4.9902 b=4.9902 c=7.3765 alpha=70.23 beta=70.23 gamma=90.00
Sites, in units of the cell vectors:
Au  0.0000  0.0000  0.0000
Au  0.7500  0.2500  0.5000
Ba  0.5000  0.5000  0.0000
Ba  0.2500  0.7500  0.5000
O  0.7021  0.1250  0.2500
O  0.0479  0.6250  0.2500
O  0.3750  0.2979  0.7500
O  0.8750  0.9521  0.7500

Computed properties:
Crystal system: tetragonal
Electronic total energy, eV per atom: -4.799

11.
Computed, not measured: a relaxed BaAuO crystal at the PBE-GGA level of DFT.

Unit cell a=4.0133 b=4.0133 c=18.4460 alpha=90.00 beta=90.00 gamma=90.00
Sites, in units of the cell vectors:
Ba  0.0000  0.0000  0.6709
Ba  0.0000  0.0000  0.3291
Ba  0.5000  0.5000  0.1709
Ba  0.5000  0.5000  0.8291
Au  0.0000  0.0000  0.0686
Au  0.0000  0.0000  0.9314
Au  0.5000  0.5000  0.5686
Au  0.5000  0.5000  0.4314
O  0.0000  0.0000  0.8119
O  0.0000  0.0000  0.1881
O  0.5000  0.5000  0.3119
O  0.5000  0.5000  0.6881

Computed properties:
Crystal system: tetragonal
Electronic total energy, eV per atom: -4.914

12.
Computed, not measured: a relaxed BaAu2O crystal at the PBE-GGA level of DFT.

Unit cell a=5.1547 b=5.1547 c=9.0650 alpha=73.48 beta=73.48 gamma=90.00
Sites, in units of the cell vectors:
Au  0.3739  0.1250  0.2500
Au  0.3761  0.6250  0.2500
Au  0.3750  0.6261  0.7500
Au  0.8750  0.6239  0.7500
Ba  0.0000  0.0000  0.0000
Ba  0.7500  0.2500  0.5000
O  0.5000  0.5000  0.0000
O  0.2500  0.7500  0.5000

Computed properties:
Crystal system: tetragonal
Electronic total energy, eV per atom: -3.706

13.
Computed, not measured: a relaxed Ba3AuO crystal at the PBE-GGA level of DFT.

Unit cell a=5.4693 b=5.4693 c=5.4693 alpha=90.00 beta=90.00 gamma=90.00
Sites, in units of the cell vectors:
Au  0.5000  0.5000  0.5000
Ba  0.0000  0.5000  0.0000
Ba  0.0000  0.0000  0.5000
Ba  0.5000  0.0000  0.0000
O  0.0000  0.0000  0.0000

Computed properties:
Crystal system: cubic
Electronic total energy, eV per atom: -3.969

14.
Computed, not measured: a relaxed BaPAuO2 crystal at the PBE-GGA level of DFT.

Unit cell a=4.3531 b=4.3531 c=7.7400 alpha=90.00 beta=90.00 gamma=90.00
Sites, in units of the cell vectors:
P  0.0000  0.0000  0.5000
Au  0.5000  0.5000  0.5000
Ba  0.0000  0.0000  0.0000
O  0.0000  0.5000  0.0000
O  0.5000  0.0000  0.0000

Computed properties:
Crystal system: tetragonal
Electronic total energy, eV per atom: -3.750

15.
Computed, not measured: a relaxed BaPAuO2 crystal at the PBE-GGA level of DFT.

Unit cell a=4.2590 b=6.4934 c=4.2590 alpha=90.00 beta=90.00 gamma=90.00
Sites, in units of the cell vectors:
P  0.5000  0.5000  0.5000
Au  0.0000  0.0000  0.0000
Ba  0.0000  0.5000  0.0000
O  0.0000  0.0000  0.5000
O  0.5000  0.0000  0.0000

Computed properties:
Crystal system: tetragonal
Electronic total energy, eV per atom: -3.841

16.
Computed, not measured: a relaxed BaPAuO2 crystal at the PBE-GGA level of DFT.

Unit cell a=4.5391 b=4.5391 c=4.5605 alpha=90.00 beta=90.00 gamma=90.00
Sites, in units of the cell vectors:
P  0.0000  0.0000  0.5000
Au  0.0000  0.0000  0.0000
Ba  0.5000  0.5000  0.5000
O  0.0000  0.5000  0.0000
O  0.5000  0.0000  0.0000

Computed properties:
Crystal system: tetragonal
Electronic total energy, eV per atom: -4.495

17.
Computed, not measured: a relaxed BaPaAuO6 crystal at the PBE-GGA level of DFT.

Unit cell a=7.9190 b=7.4449 c=7.6093 alpha=119.29 beta=121.36 gamma=90.00
Sites, in units of the cell vectors:
Ba  0.8145  0.5645  0.6289
Ba  0.1855  0.4355  0.3711
Pa  0.5000  0.0000  0.5000
Pa  0.0000  0.0000  0.5000
Au  0.5000  0.5000  0.0000
Au  0.5000  0.0000  0.0000
O  0.4309  0.6809  0.8617
O  0.8341  0.0841  0.6681
O  0.8151  0.1131  0.2681
O  0.4530  0.6550  0.2681
O  0.4530  0.1131  0.2681
O  0.8151  0.6550  0.2681
O  0.5691  0.3191  0.1383
O  0.1659  0.9159  0.3319
O  0.1849  0.8869  0.7319
O  0.5470  0.3450  0.7319
O  0.5470  0.8869  0.7319
O  0.1849  0.3450  0.7319

Computed properties:
Crystal system: orthorhombic
Electronic total energy, eV per atom: -6.835

18.
Computed, not measured: a relaxed Ba2PaAu3O3 crystal at the PBE-GGA level of DFT.

Unit cell a=3.4509 b=8.4804 c=8.4804 alpha=120.00 beta=90.00 gamma=90.00
Sites, in units of the cell vectors:
Ba  0.5000  0.3333  0.6667
Ba  0.5000  0.6667  0.3333
Pa  0.0000  0.0000  0.0000
Au  0.0000  0.0000  0.3703
Au  0.0000  0.6297  0.6297
Au  0.0000  0.3703  0.0000
O  0.5000  0.8222  0.0000
O  0.5000  0.1778  0.1778
O  0.5000  0.0000  0.8222

Computed properties:
Crystal system: hexagonal
Electronic total energy, eV per atom: -5.692

19.
Computed, not measured: a relaxed BaPaAuO4 crystal at the PBE-GGA level of DFT.

Unit cell a=7.2877 b=7.3547 c=7.0768 alpha=118.76 beta=90.00 gamma=119.70
Sites, in units of the cell vectors:
Ba  0.8421  0.6842  0.0921
Ba  0.1579  0.3158  0.9079
Pa  0.5000  0.0000  0.5000
Pa  0.5000  0.0000  0.0000
Au  0.5000  0.5000  0.5000
Au  0.0000  0.5000  0.5000
O  0.6978  0.3956  0.6558
O  0.2790  0.9295  0.2148
O  0.6505  0.9295  0.2148
O  0.6978  0.3956  0.2399
O  0.3022  0.6044  0.7601
O  0.7210  0.0705  0.7852
O  0.3495  0.0705  0.7852
O  0.3022  0.6044  0.3442

Computed properties:
Crystal system: orthorhombic
Electronic total energy, eV per atom: -7.324

20.
Computed, not measured: a relaxed Ba3PaAu2O9 crystal at the PBE-GGA level of DFT.

Unit cell a=6.0588 b=6.0588 c=7.5283 alpha=90.00 beta=90.00 gamma=120.00
Sites, in units of the cell vectors:
Ba  0.3333  0.6667  0.7043
Ba  0.0000  0.0000  0.0000
Ba  0.6667  0.3333  0.2957
Pa  0.0000  0.0000  0.5000
Au  0.3333  0.6667  0.1674
Au  0.6667  0.3333  0.8326
O  0.8361  0.1639  0.6695
O  0.8361  0.6722  0.6695
O  0.3278  0.1639  0.6695
O  0.6722  0.8361  0.3305
O  0.1639  0.3278  0.3305
O  0.1639  0.8361  0.3305
O  0.5000  0.0000  0.0000
O  0.0000  0.5000  0.0000
O  0.5000  0.5000  0.0000

Computed properties:
Crystal system: trigonal
Electronic total energy, eV per atom: -6.398

21.
Computed, not measured: a relaxed Ba2PaAuO6 crystal at the PBE-GGA level of DFT.

Unit cell a=5.7895 b=6.0487 c=6.0487 alpha=120.00 beta=90.00 gamma=90.00
Sites, in units of the cell vectors:
Ba  0.1400  0.3333  0.6667
Ba  0.8600  0.6667  0.3333
Pa  0.5000  0.0000  0.0000
Au  0.0000  0.0000  0.0000
O  0.7479  0.1618  0.3235
O  0.7479  0.1618  0.8382
O  0.7479  0.6765  0.8382
O  0.2521  0.8382  0.1618
O  0.2521  0.3235  0.1618
O  0.2521  0.8382  0.6765

Computed properties:
Crystal system: trigonal
Electronic total energy, eV per atom: -6.781

22.
Computed, not measured: a relaxed Ba2Pa3AuO12 crystal at the PBE-GGA level of DFT.

Unit cell a=7.7910 b=7.7910 c=7.7910 alpha=62.06 beta=62.06 gamma=62.06
Sites, in units of the cell vectors:
Ba  0.6778  0.6778  0.6778
Ba  0.3222  0.3222  0.3222
Pa  0.5000  0.0000  0.0000
Pa  0.0000  0.5000  0.0000
Pa  0.0000  0.0000  0.5000
Au  0.0000  0.0000  0.0000
O  0.3263  0.3263  0.9654
O  0.9357  0.9357  0.3032
O  0.3032  0.9357  0.9357
O  0.9654  0.3263  0.3263
O  0.9357  0.3032  0.9357
O  0.3263  0.9654  0.3263
O  0.6737  0.6737  0.0346
O  0.0643  0.0643  0.6968
O  0.6968  0.0643  0.0643
O  0.0346  0.6737  0.6737
O  0.0643  0.6968  0.0643
O  0.6737  0.0346  0.6737

Computed properties:
Crystal system: trigonal
Electronic total energy, eV per atom: -7.923